# 1
A relaxed structure of Dy6HoTh. Source: Alexandria via LeMat-Bulk, functional PBE.

extended XYZ file:
```
8
Lattice="6.2204 -0.0778 2.3378 0.2368 6.5449 0.3390 1.0246 0.2830 6.6605" Properties=species:S:1:pos:R:3 pbc="T T T"
Dy 3.4850 4.8712 1.6499
Dy 4.2299 4.9468 5.0635
Dy 6.3756 1.6657 5.5185
Dy 3.2518 1.8032 4.2737
Dy 3.9968 1.8789 7.6874
Dy 1.1061 5.0844 3.8188
Th 0.0000 0.0000 0.0000
Ho 0.1184 3.2724 0.1695
```

Summary:
For the offset from the most stable computed form, the calculation gives 188.2 meV/atom. Its total magnetic moment is 0.00 μB per atom.

# 2
A relaxed structure of Dy4Ho2Th3. Source: Alexandria via LeMat-Bulk, functional PBE.

extended XYZ file:
```
9
Lattice="3.5517 0.0000 0.0000 -1.7758 3.0758 0.0000 0.0000 0.0000 26.4160" Properties=species:S:1:pos:R:3 pbc="T T T"
Th 0.0000 0.0000 8.5210
Th 0.0000 0.0000 25.9725
Th 1.7758 1.0253 17.2573
Ho 1.7758 1.0253 2.3764
Ho 1.7758 1.0253 23.0228
Dy 1.7758 1.0253 5.6920
Dy 0.0000 0.0000 14.3410
Dy 1.7758 1.0253 11.4760
Dy 0.0000 0.0000 20.1759
```

Summary:
Its total magnetic moment is 0.00 μB per atom.

no.,formation energy from the elements (kJ per mole of atoms)
1,21.24
2,7.87